# 1
Compound: PuZnTcNi
Source: the Alexandria database
Functional: PBE
Structure: relaxed

Cell lengths 4.4812, 4.4812, 4.4812 Å; angles 60.00, 60.00, 60.00 degrees
With the nearest neighbours (Å) after each atom.
Positions (direct):
Ni (0.2500, 0.2500, 0.2500)  4 Zn 2.74, 4 Pu 2.74
Zn (0.0000, 0.0000, 0.0000)  4 Tc 2.74, 4 Ni 2.74
Tc (0.7500, 0.7500, 0.7500)  4 Pu 2.74, 4 Zn 2.74
Pu (0.5000, 0.5000, 0.5000)  4 Tc 2.74, 4 Ni 2.74

Computed properties:
calculated formation energy = -0.009 eV/atom
total energy = -31.79 eV per cell
crystal system = cubic
total magnetic moment = 3.87 μB/f.u.

=====

# 2
Compound: MgSc2CdC
Source: the Alexandria database
Functional: PBE
Structure: relaxed

Cell lengths 4.5354, 4.5354, 4.5172 Å; angles 90.00, 90.00, 90.00 degrees
With the nearest neighbours (Å) after each atom.
Positions (direct):
Sc (0.0000, 0.5000, 0.0000)  2 C 2.27
Sc (0.5000, 0.0000, 0.0000)  2 C 2.27
Mg (0.0000, 0.0000, 0.5000)  2 C 2.26
C (0.0000, 0.0000, 0.0000)  2 Mg 2.26, 4 Sc 2.27
Cd (0.5000, 0.5000, 0.5000)  8 Sc 3.20, 4 Mg 3.21

Computed properties:
calculated formation energy = -0.293 eV/atom
total energy = -25.86 eV per cell
crystal system = tetragonal
total magnetic moment = 0.00 μB/f.u.